The following is a PBE+U calculation of an optimized crystal structure of Fe2SiO4, from the Alexandria database. Values from VASP.

The structure in Quantum ESPRESSO input format:
```
&SYSTEM
  ibrav = 0, nat = 28, ntyp = 3
/
ATOMIC_SPECIES
Fe 55.84 Fe.upf
Si 28.09 Si.upf
O 16.00 O.upf
CELL_PARAMETERS angstrom
4.882 0.000 0.000
0.000 6.166 0.000
-0.002 0.000 10.625
ATOMIC_POSITIONS crystal
Fe 0.000 0.000 0.000
Fe 0.000 0.500 0.000
Fe 0.012 0.250 0.721
Fe 0.486 0.250 0.221
Fe 0.500 0.000 0.500
Fe 0.500 0.500 0.500
Fe 0.514 0.750 0.779
Fe 0.988 0.750 0.279
Si 0.071 0.750 0.596
Si 0.429 0.750 0.097
Si 0.571 0.250 0.903
Si 0.929 0.250 0.404
O 0.210 0.536 0.665
O 0.210 0.750 0.453
O 0.210 0.964 0.665
O 0.235 0.250 0.908
O 0.266 0.250 0.409
O 0.288 0.537 0.166
O 0.288 0.963 0.166
O 0.289 0.750 0.953
O 0.711 0.250 0.047
O 0.712 0.037 0.834
O 0.712 0.463 0.834
O 0.734 0.750 0.591
O 0.765 0.750 0.092
O 0.790 0.036 0.335
O 0.790 0.250 0.547
O 0.790 0.464 0.335
```

Computed properties:
**E_tot**: -7.26 eV per atom
**Crystal system**: monoclinic
**Excess energy over the best structure of this formula in the dataset**: 0.000 eV/atom
**Magnetization**: 32.0 Bohr magnetons per cell
**SG**: P2_1/m (11)


The following is a PBE+U calculation of an optimized crystal structure of Fe3SiO, from the Alexandria database. Values from VASP.

The structure in Quantum ESPRESSO input format:
```
&SYSTEM
  ibrav = 0, nat = 5, ntyp = 3
/
ATOMIC_SPECIES
Fe 55.84 Fe.upf
Si 28.09 Si.upf
O 16.00 O.upf
CELL_PARAMETERS angstrom
4.181 0.000 0.000
0.000 4.181 0.000
0.000 0.000 4.181
ATOMIC_POSITIONS crystal
Fe 0.000 0.000 0.500
Fe 0.000 0.500 0.000
Fe 0.500 0.000 0.000
Si 0.500 0.500 0.500
O 0.000 0.000 0.000
```

Computed properties:
**E_tot**: -5.39 eV per atom
**Crystal system**: cubic
**Excess energy over the best structure of this formula in the dataset**: 0.000 eV/atom
**Magnetization**: 11.2 Bohr magnetons per cell
**SG**: Pm-3m (221)


The following is a PBE+U calculation of an optimized crystal structure of Fe2SiO, from the Alexandria database. Values from VASP.

The structure in Quantum ESPRESSO input format:
```
&SYSTEM
  ibrav = 0, nat = 8, ntyp = 3
/
ATOMIC_SPECIES
Fe 55.84 Fe.upf
Si 28.09 Si.upf
O 16.00 O.upf
CELL_PARAMETERS angstrom
-2.939 2.939 3.696
2.939 -2.939 3.696
2.939 2.939 -3.696
ATOMIC_POSITIONS crystal
Fe 0.046 0.125 0.421
Fe 0.375 0.954 0.079
Fe 0.704 0.625 0.579
Fe 0.875 0.296 0.921
Si 0.250 0.750 0.500
Si 0.500 0.500 0.000
O 0.000 0.000 0.000
O 0.750 0.250 0.500
```

Computed properties:
**E_tot**: -5.52 eV per atom
**Crystal system**: tetragonal
**Excess energy over the best structure of this formula in the dataset**: 0.000 eV/atom
**Magnetization**: 14.7 Bohr magnetons per cell
**SG**: I-42d (122)


The following is a PBE+U calculation of an optimized crystal structure of FeSiO3, from the Alexandria database. Values from VASP.

The structure in Quantum ESPRESSO input format:
```
&SYSTEM
  ibrav = 0, nat = 80, ntyp = 3
/
ATOMIC_SPECIES
Fe 55.84 Fe.upf
Si 28.09 Si.upf
O 16.00 O.upf
CELL_PARAMETERS angstrom
5.322 0.000 0.000
0.000 18.692 0.000
0.000 0.000 9.207
ATOMIC_POSITIONS crystal
Fe 0.122 0.124 0.154
Fe 0.122 0.376 0.654
Fe 0.127 0.123 0.512
Fe 0.127 0.377 0.012
Fe 0.373 0.623 0.512
Fe 0.373 0.877 0.012
Fe 0.378 0.624 0.154
Fe 0.378 0.876 0.654
Fe 0.622 0.124 0.346
Fe 0.622 0.376 0.846
Fe 0.627 0.123 0.988
Fe 0.627 0.377 0.488
Fe 0.873 0.623 0.988
Fe 0.873 0.877 0.488
Fe 0.878 0.624 0.346
Fe 0.878 0.876 0.846
Si 0.055 0.727 0.662
Si 0.055 0.773 0.162
Si 0.216 0.026 0.834
Si 0.216 0.474 0.334
Si 0.284 0.526 0.834
Si 0.284 0.974 0.334
Si 0.445 0.227 0.662
Si 0.445 0.273 0.162
Si 0.555 0.727 0.838
Si 0.555 0.773 0.338
Si 0.716 0.026 0.666
Si 0.716 0.474 0.166
Si 0.784 0.526 0.666
Si 0.784 0.974 0.166
Si 0.945 0.227 0.838
Si 0.945 0.273 0.338
O 0.042 0.686 0.160
O 0.042 0.814 0.660
O 0.059 0.687 0.506
O 0.059 0.813 0.006
O 0.078 0.551 0.706
O 0.078 0.949 0.206
O 0.173 0.198 0.732
O 0.173 0.302 0.232
O 0.196 0.567 0.981
O 0.196 0.933 0.481
O 0.219 0.562 0.337
O 0.219 0.938 0.837
O 0.281 0.062 0.337
O 0.281 0.438 0.837
O 0.304 0.067 0.981
O 0.304 0.433 0.481
O 0.327 0.698 0.732
O 0.327 0.802 0.232
O 0.422 0.051 0.706
O 0.422 0.449 0.206
O 0.441 0.187 0.506
O 0.441 0.313 0.006
O 0.458 0.186 0.160
O 0.458 0.314 0.660
O 0.542 0.686 0.340
O 0.542 0.814 0.840
O 0.559 0.687 0.994
O 0.559 0.813 0.494
O 0.578 0.551 0.794
O 0.578 0.949 0.294
O 0.673 0.198 0.768
O 0.673 0.302 0.268
O 0.696 0.567 0.519
O 0.696 0.933 0.019
O 0.719 0.562 0.163
O 0.719 0.938 0.663
O 0.781 0.062 0.163
O 0.781 0.438 0.663
O 0.804 0.067 0.519
O 0.804 0.433 0.019
O 0.827 0.698 0.768
O 0.827 0.802 0.268
O 0.922 0.051 0.794
O 0.922 0.449 0.294
O 0.941 0.187 0.994
O 0.941 0.313 0.494
O 0.958 0.186 0.340
O 0.958 0.314 0.840
```

Computed properties:
**E_tot**: -7.44 eV per atom
**Crystal system**: orthorhombic
**Magnetization**: 64.0 Bohr magnetons per cell
**SG**: Pbca (61)


The following is a PBE+U calculation of an optimized crystal structure of Fe3Si2O8, from the Alexandria database. Values from VASP.

The structure in Quantum ESPRESSO input format:
```
&SYSTEM
  ibrav = 0, nat = 39, ntyp = 3
/
ATOMIC_SPECIES
Fe 55.84 Fe.upf
Si 28.09 Si.upf
O 16.00 O.upf
CELL_PARAMETERS angstrom
5.188 0.000 0.000
0.719 8.647 0.000
2.584 3.582 12.938
ATOMIC_POSITIONS crystal
Fe 0.000 0.000 0.000
Fe 0.021 0.510 0.326
Fe 0.118 0.745 0.844
Fe 0.142 0.252 0.165
Fe 0.360 0.397 0.676
Fe 0.472 0.143 0.508
Fe 0.554 0.732 0.185
Fe 0.673 0.444 0.021
Fe 0.756 0.732 0.486
Si 0.187 0.358 0.924
Si 0.250 0.783 0.594
Si 0.554 0.817 0.953
Si 0.588 0.350 0.270
Si 0.920 0.336 0.563
Si 0.981 0.878 0.244
O 0.014 0.530 0.917
O 0.018 0.364 0.663
O 0.045 0.803 0.516
O 0.101 0.790 0.707
O 0.120 0.212 0.514
O 0.152 0.036 0.223
O 0.183 0.722 0.248
O 0.279 0.362 0.249
O 0.342 0.330 0.024
O 0.361 0.957 0.990
O 0.378 0.361 0.816
O 0.443 0.617 0.595
O 0.461 0.767 0.860
O 0.488 0.913 0.543
O 0.574 0.660 0.051
O 0.610 0.266 0.596
O 0.642 0.212 0.372
O 0.667 0.521 0.280
O 0.749 0.830 0.344
O 0.778 0.315 0.165
O 0.836 0.902 0.139
O 0.865 0.885 0.914
O 0.901 0.510 0.475
O 0.956 0.225 0.964
```

Computed properties:
**E_tot**: -7.19 eV per atom
**Crystal system**: triclinic
**Excess energy over the best structure of this formula in the dataset**: 0.044 eV/atom
**Magnetization**: 42.0 Bohr magnetons per cell
**SG**: P1 (1)


The following is a PBE+U calculation of an optimized crystal structure of Fe2SiO4, from the Alexandria database. Values from VASP.

The structure in Quantum ESPRESSO input format:
```
&SYSTEM
  ibrav = 0, nat = 7, ntyp = 3
/
ATOMIC_SPECIES
Fe 55.84 Fe.upf
Si 28.09 Si.upf
O 16.00 O.upf
CELL_PARAMETERS angstrom
-2.560 2.560 3.596
2.560 -2.560 3.596
2.560 2.560 -3.596
ATOMIC_POSITIONS crystal
Fe 0.250 0.750 0.500
Fe 0.750 0.250 0.500
Si 0.000 0.000 0.000
O 0.057 0.682 0.000
O 0.318 0.318 0.375
O 0.682 0.057 0.000
O 0.943 0.943 0.625
```

Computed properties:
**E_tot**: -7.22 eV per atom
**Crystal system**: tetragonal
**Excess energy over the best structure of this formula in the dataset**: 0.035 eV/atom
**Magnetization**: 8.0 Bohr magnetons per cell
**SG**: I-42m (121)


The following is a PBE+U calculation of an optimized crystal structure of FeSiO4, from the Alexandria database. Values from VASP.

The structure in Quantum ESPRESSO input format:
```
&SYSTEM
  ibrav = 0, nat = 24, ntyp = 3
/
ATOMIC_SPECIES
Fe 55.84 Fe.upf
Si 28.09 Si.upf
O 16.00 O.upf
CELL_PARAMETERS angstrom
7.137 0.000 0.000
0.000 5.310 0.000
-6.392 0.000 9.246
ATOMIC_POSITIONS crystal
Fe 0.207 0.172 0.451
Fe 0.207 0.328 0.951
Fe 0.793 0.672 0.049
Fe 0.793 0.828 0.549
Si 0.296 0.674 0.313
Si 0.296 0.826 0.813
Si 0.704 0.174 0.187
Si 0.704 0.326 0.687
O 0.107 0.713 0.138
O 0.107 0.787 0.638
O 0.231 0.657 0.906
O 0.231 0.843 0.406
O 0.279 0.123 0.848
O 0.279 0.377 0.348
O 0.447 0.249 0.139
O 0.447 0.251 0.639
O 0.553 0.749 0.361
O 0.553 0.751 0.861
O 0.721 0.623 0.652
O 0.721 0.877 0.152
O 0.769 0.157 0.594
O 0.769 0.343 0.094
O 0.893 0.213 0.362
O 0.893 0.287 0.862
```

Computed properties:
**E_tot**: -6.86 eV per atom
**Crystal system**: monoclinic
**Excess energy over the best structure of this formula in the dataset**: 0.004 eV/atom
**Magnetization**: 16.0 Bohr magnetons per cell
**SG**: P2_1/c (14)


The following is a PBE+U calculation of an optimized crystal structure of Fe4Si2Sn7O16, from the Alexandria database. Values from VASP.

The structure in Quantum ESPRESSO input format:
```
&SYSTEM
  ibrav = 0, nat = 29, ntyp = 4
/
ATOMIC_SPECIES
Fe 55.84 Fe.upf
Si 28.09 Si.upf
Sn 118.71 Sn.upf
O 16.00 O.upf
CELL_PARAMETERS angstrom
6.912 0.000 0.000
-3.456 5.986 0.000
0.000 0.000 9.379
ATOMIC_POSITIONS crystal
Fe 0.000 0.000 0.000
Fe 0.000 0.500 0.500
Fe 0.500 0.000 0.500
Fe 0.500 0.500 0.500
Si 0.333 0.667 0.756
Si 0.667 0.333 0.244
Sn 0.000 0.000 0.500
Sn 0.165 0.331 0.166
Sn 0.165 0.835 0.166
Sn 0.331 0.165 0.834
Sn 0.669 0.835 0.166
Sn 0.835 0.165 0.834
Sn 0.835 0.669 0.834
O 0.073 0.537 0.809
O 0.155 0.310 0.388
O 0.155 0.845 0.388
O 0.310 0.155 0.612
O 0.333 0.667 0.126
O 0.333 0.667 0.578
O 0.463 0.537 0.809
O 0.463 0.927 0.809
O 0.537 0.073 0.191
O 0.537 0.463 0.191
O 0.667 0.333 0.422
O 0.667 0.333 0.874
O 0.690 0.845 0.388
O 0.845 0.155 0.612
O 0.845 0.690 0.612
O 0.927 0.463 0.191
```

Computed properties:
**E_tot**: -6.30 eV per atom
**Crystal system**: trigonal
**Magnetization**: 5.9 Bohr magnetons per cell
**SG**: P-3m1 (164)


The following is a PBE+U calculation of an optimized crystal structure of SrFeSiO4, from the Alexandria database. Values from VASP.

The structure in Quantum ESPRESSO input format:
```
&SYSTEM
  ibrav = 0, nat = 14, ntyp = 4
/
ATOMIC_SPECIES
Sr 87.62 Sr.upf
Fe 55.84 Fe.upf
Si 28.09 Si.upf
O 16.00 O.upf
CELL_PARAMETERS angstrom
5.373 0.000 0.000
0.000 5.654 0.000
-1.860 0.000 6.214
ATOMIC_POSITIONS crystal
Sr 0.228 0.250 0.441
Sr 0.772 0.750 0.559
Fe 0.305 0.250 0.971
Fe 0.695 0.750 0.029
Si 0.238 0.750 0.162
Si 0.762 0.250 0.838
O 0.041 0.750 0.921
O 0.061 0.750 0.331
O 0.447 0.524 0.207
O 0.447 0.976 0.207
O 0.553 0.024 0.793
O 0.553 0.476 0.793
O 0.939 0.250 0.669
O 0.959 0.250 0.079
```

Computed properties:
**E_tot**: -7.11 eV per atom
**Crystal system**: monoclinic
**Magnetization**: 8.0 Bohr magnetons per cell
**SG**: P2_1/m (11)


The following is a PBE+U calculation of an optimized crystal structure of Tl2FeSi2O6, from the Alexandria database. Values from VASP.

The structure in Quantum ESPRESSO input format:
```
&SYSTEM
  ibrav = 0, nat = 11, ntyp = 4
/
ATOMIC_SPECIES
Tl 204.38 Tl.upf
Fe 55.84 Fe.upf
Si 28.09 Si.upf
O 16.00 O.upf
CELL_PARAMETERS angstrom
2.905 1.677 5.892
-2.905 1.677 5.892
0.000 -3.354 5.892
ATOMIC_POSITIONS crystal
Tl 0.205 0.205 0.205
Tl 0.795 0.795 0.795
Fe 0.000 0.000 0.000
Si 0.401 0.401 0.401
Si 0.599 0.599 0.599
O 0.247 0.247 0.720
O 0.247 0.720 0.247
O 0.280 0.753 0.753
O 0.720 0.247 0.247
O 0.753 0.280 0.753
O 0.753 0.753 0.280
```

Computed properties:
**E_tot**: -6.32 eV per atom
**Crystal system**: trigonal
**Magnetization**: 4.0 Bohr magnetons per cell
**SG**: R-3m (166)


The following is a PBE+U calculation of an optimized crystal structure of V2Fe3Si3O12, from the Alexandria database. Values from VASP.

The structure in Quantum ESPRESSO input format:
```
&SYSTEM
  ibrav = 0, nat = 80, ntyp = 4
/
ATOMIC_SPECIES
V 50.94 V.upf
Fe 55.84 Fe.upf
Si 28.09 Si.upf
O 16.00 O.upf
CELL_PARAMETERS angstrom
-5.953 5.953 5.953
5.953 -5.953 5.953
5.953 5.953 -5.953
ATOMIC_POSITIONS crystal
V 0.000 0.000 0.000
V 0.000 0.000 0.500
V 0.000 0.500 0.000
V 0.000 0.500 0.500
V 0.500 0.000 0.000
V 0.500 0.000 0.500
V 0.500 0.500 0.000
V 0.500 0.500 0.500
Fe 0.125 0.250 0.375
Fe 0.125 0.375 0.750
Fe 0.250 0.375 0.125
Fe 0.250 0.875 0.625
Fe 0.375 0.125 0.250
Fe 0.375 0.750 0.125
Fe 0.625 0.250 0.875
Fe 0.625 0.875 0.750
Fe 0.750 0.125 0.375
Fe 0.750 0.625 0.875
Fe 0.875 0.625 0.250
Fe 0.875 0.750 0.625
Si 0.125 0.750 0.875
Si 0.125 0.875 0.250
Si 0.250 0.125 0.875
Si 0.250 0.625 0.375
Si 0.375 0.250 0.625
Si 0.375 0.625 0.750
Si 0.625 0.375 0.250
Si 0.625 0.750 0.375
Si 0.750 0.375 0.625
Si 0.750 0.875 0.125
Si 0.875 0.125 0.750
Si 0.875 0.250 0.125
O 0.018 0.211 0.122
O 0.018 0.307 0.895
O 0.089 0.711 0.693
O 0.089 0.878 0.395
O 0.105 0.622 0.411
O 0.105 0.982 0.693
O 0.122 0.018 0.211
O 0.122 0.605 0.911
O 0.193 0.211 0.589
O 0.193 0.482 0.605
O 0.211 0.122 0.018
O 0.211 0.589 0.193
O 0.289 0.307 0.911
O 0.289 0.482 0.378
O 0.307 0.895 0.018
O 0.307 0.911 0.289
O 0.378 0.289 0.482
O 0.378 0.589 0.895
O 0.395 0.089 0.878
O 0.395 0.807 0.518
O 0.411 0.105 0.622
O 0.411 0.807 0.789
O 0.482 0.378 0.289
O 0.482 0.605 0.193
O 0.518 0.395 0.807
O 0.518 0.622 0.711
O 0.589 0.193 0.211
O 0.589 0.895 0.378
O 0.605 0.193 0.482
O 0.605 0.911 0.122
O 0.622 0.411 0.105
O 0.622 0.711 0.518
O 0.693 0.089 0.711
O 0.693 0.105 0.982
O 0.711 0.518 0.622
O 0.711 0.693 0.089
O 0.789 0.411 0.807
O 0.789 0.878 0.982
O 0.807 0.518 0.395
O 0.807 0.789 0.411
O 0.878 0.395 0.089
O 0.878 0.982 0.789
O 0.895 0.018 0.307
O 0.895 0.378 0.589
O 0.911 0.122 0.605
O 0.911 0.289 0.307
O 0.982 0.693 0.105
O 0.982 0.789 0.878
```

Computed properties:
**E_tot**: -7.51 eV per atom
**Crystal system**: cubic
**Magnetization**: 64.0 Bohr magnetons per cell
**SG**: Ia-3d (230)


The following is a PBE+U calculation of an optimized crystal structure of VFe2SiO6, from the Alexandria database. Values from VASP.

The structure in Quantum ESPRESSO input format:
```
&SYSTEM
  ibrav = 0, nat = 10, ntyp = 4
/
ATOMIC_SPECIES
V 50.94 V.upf
Fe 55.84 Fe.upf
Si 28.09 Si.upf
O 16.00 O.upf
CELL_PARAMETERS angstrom
5.013 0.000 0.000
-2.505 4.343 0.000
-2.490 -1.454 4.547
ATOMIC_POSITIONS crystal
V 0.000 0.000 0.000
Fe 0.415 0.208 0.620
Fe 0.432 0.717 0.146
Si 0.009 0.504 0.512
O 0.145 0.763 0.309
O 0.157 0.871 0.769
O 0.478 0.611 0.766
O 0.547 0.385 0.312
O 0.902 0.294 0.773
O 0.924 0.160 0.310
```

Computed properties:
**E_tot**: -7.32 eV per atom
**Crystal system**: triclinic
**Magnetization**: 7.0 Bohr magnetons per cell
**SG**: P1 (1)


Repeat the second record exactly.
The following is a PBE+U calculation of an optimized crystal structure of Fe3SiO, from the Alexandria database. Values from VASP.

The structure in Quantum ESPRESSO input format:
```
&SYSTEM
  ibrav = 0, nat = 5, ntyp = 3
/
ATOMIC_SPECIES
Fe 55.84 Fe.upf
Si 28.09 Si.upf
O 16.00 O.upf
CELL_PARAMETERS angstrom
4.181 0.000 0.000
0.000 4.181 0.000
0.000 0.000 4.181
ATOMIC_POSITIONS crystal
Fe 0.000 0.000 0.500
Fe 0.000 0.500 0.000
Fe 0.500 0.000 0.000
Si 0.500 0.500 0.500
O 0.000 0.000 0.000
```

Computed properties:
**E_tot**: -5.39 eV per atom
**Crystal system**: cubic
**Excess energy over the best structure of this formula in the dataset**: 0.000 eV/atom
**Magnetization**: 11.2 Bohr magnetons per cell
**SG**: Pm-3m (221)